VASP calculation (PBE) on crystalline MnTlMo at its relaxed geometry.

Summary:
D(E_F) in states/eV/f.u.: 2.16
Final energy in eV per formula unit: -20.83
E above lowest polymorph in meV per atom: 0
Calculated volume in A^3/atom: 16.70
Energy relative to the elements in meV per atom: 513

a b c (Å): 5.9505 5.9505 5.9505
angles (deg): 150.78 150.78 41.80
Fractional positions:
Tl  0.6597  0.6597  0.0000
Mo  0.3625  0.3625  0.0000
Mn  0.9778  0.9778  0.0000

---

VASP calculation (PBE) on crystalline MnGe2Os at its relaxed geometry.

Summary:
D(E_F) in states/eV/f.u.: 3.30
Final energy in eV per formula unit: -29.08
E above lowest polymorph in meV per atom: 22
Calculated volume in A^3/atom: 13.52
Energy relative to the elements in meV per atom: 139

a b c (Å): 4.2451 4.2451 4.2451
angles (deg): 60.00 60.00 60.00
Site moments in Bohr magnetons follow the coordinates.
Fractional positions:
Ge  0.2500  0.2500  0.2500  -0.03
Ge  0.7500  0.7500  0.7500  -0.03
Os  0.5000  0.5000  0.5000  0.05
Mn  0.0000  0.0000  0.0000  0.69

---

VASP calculation (PBE) on crystalline BaAgSeN2 at its relaxed geometry.

Summary:
D(E_F) in states/eV/f.u.: 3.01
Final energy in eV per formula unit: -20.85
E above lowest polymorph in meV per atom: 0
Calculated volume in A^3/atom: 21.42

a b c (Å): 4.4988 4.4988 5.2923
angles (deg): 90.00 90.00 90.00
Site moments in Bohr magnetons follow the coordinates.
Fractional positions:
N  0.0000  0.5000  0.0000  1.00
N  0.5000  0.0000  0.0000  1.00
Ag  0.0000  0.0000  0.0000  0.09
Ba  0.5000  0.5000  0.5000  0.00
Se  0.0000  0.0000  0.5000  0.13

---

VASP calculation (PBE) on crystalline Tm2OsRu at its relaxed geometry.

Summary:
D(E_F) in states/eV/f.u.: 4.54
Final energy in eV per formula unit: -30.57
Calculated volume in A^3/atom: 18.93
Energy relative to the elements in meV per atom: -280

a b c (Å): 3.3561 3.3561 6.7243
angles (deg): 90.00 90.00 90.00
Fractional positions:
Tm  0.0000  0.0000  0.7498
Tm  0.0000  0.0000  0.2502
Ru  0.5000  0.5000  0.5000
Os  0.5000  0.5000  0.0000